1.
{
  "formula": "ZnCd2OsO",
  "functional": "PBE-GGA",
  "state": "optimized geometry",
  "lattice_angstrom": [[5.435, 0.000, 0.000], [0.000, 3.706, 0.000], [0.000, 0.000, 5.435]],
  "species": ["Zn", "Os", "O", "Cd", "Cd"],
  "frac_coords": [[0.500, 0.500, 0.500], [0.000, 0.000, 0.000], [0.000, 0.500, 0.000], [0.000, 0.000, 0.500], [0.500, 0.000, 0.000]],
  "m_tot_mub_per_atom": 0.00,
  "total_energy_ev_per_cell": -18.8,
  "raw_formation_energy_mev_per_atom": 102.5
}



2.
{
  "formula": "ZnCd2OsO6",
  "functional": "PBE-GGA",
  "state": "optimized geometry",
  "lattice_angstrom": [[5.455, 0.000, -0.022], [0.000, 5.539, 0.000], [0.017, 0.000, 7.895]],
  "species": ["Zn", "Zn", "Cd", "Cd", "Cd", "Cd", "Os", "Os", "O", "O", "O", "O", "O", "O", "O", "O", "O", "O", "O", "O"],
  "frac_coords": [[0.500, 0.000, 0.000], [0.000, 0.500, 0.500], [0.009, 0.955, 0.252], [0.509, 0.545, 0.752], [0.991, 0.045, 0.748], [0.491, 0.455, 0.248], [0.500, 0.000, 0.500], [0.000, 0.500, 0.000], [0.292, 0.688, 0.049], [0.792, 0.812, 0.549], [0.708, 0.312, 0.951], [0.208, 0.188, 0.451], [0.319, 0.710, 0.440], [0.819, 0.790, 0.940], [0.681, 0.290, 0.560], [0.181, 0.210, 0.060], [0.897, 0.545, 0.236], [0.397, 0.955, 0.736], [0.103, 0.455, 0.764], [0.603, 0.045, 0.264]],
  "m_tot_mub_per_atom": 0.20,
  "total_energy_ev_per_cell": -108.7,
  "raw_formation_energy_mev_per_atom": -1026.3
}



3.
{
  "formula": "CdP3O",
  "functional": "PBE-GGA",
  "state": "optimized geometry",
  "lattice_angstrom": [[4.283, 0.000, 0.000], [0.000, 4.283, 0.000], [0.000, 0.000, 4.283]],
  "species": ["P", "P", "P", "O", "Cd"],
  "frac_coords": [[0.000, 0.500, 0.000], [0.000, 0.000, 0.500], [0.500, 0.000, 0.000], [0.000, 0.000, 0.000], [0.500, 0.500, 0.500]],
  "m_tot_mub_per_atom": 0.00,
  "total_energy_ev_per_cell": -19.2,
  "raw_formation_energy_mev_per_atom": 582.3
}



4.
{
  "formula": "Cd3P2O8",
  "functional": "PBE-GGA",
  "state": "optimized geometry",
  "lattice_angstrom": [[-4.676, 3.875, 4.854], [-6.964, 0.145, -6.824], [-1.341, -8.137, 5.203]],
  "species": ["Cd", "Cd", "Cd", "Cd", "Cd", "Cd", "Cd", "Cd", "Cd", "Cd", "Cd", "Cd", "P", "P", "P", "P", "P", "P", "P", "P", "O", "O", "O", "O", "O", "O", "O", "O", "O", "O", "O", "O", "O", "O", "O", "O", "O", "O", "O", "O", "O", "O", "O", "O", "O", "O", "O", "O", "O", "O", "O", "O"],
  "frac_coords": [[0.000, 0.109, 0.891], [0.500, 0.391, 0.609], [0.000, 0.891, 0.109], [0.500, 0.609, 0.391], [0.555, 0.030, 0.309], [0.055, 0.470, 0.191], [0.945, 0.809, 0.530], [0.445, 0.691, 0.970], [0.445, 0.970, 0.691], [0.945, 0.530, 0.809], [0.055, 0.191, 0.470], [0.555, 0.309, 0.030], [0.713, 0.820, 0.820], [0.213, 0.680, 0.680], [0.787, 0.320, 0.320], [0.287, 0.180, 0.180], [0.250, 0.313, 0.813], [0.750, 0.187, 0.687], [0.750, 0.687, 0.187], [0.250, 0.813, 0.313], [0.877, 0.899, 0.899], [0.377, 0.601, 0.601], [0.623, 0.399, 0.399], [0.123, 0.101, 0.101], [0.538, 0.884, 0.884], [0.038, 0.616, 0.616], [0.962, 0.384, 0.384], [0.462, 0.116, 0.116], [0.085, 0.373, 0.901], [0.585, 0.127, 0.599], [0.415, 0.401, 0.873], [0.915, 0.099, 0.627], [0.915, 0.627, 0.099], [0.415, 0.873, 0.401], [0.585, 0.599, 0.127], [0.085, 0.901, 0.373], [0.269, 0.156, 0.820], [0.769, 0.344, 0.680], [0.231, 0.320, 0.656], [0.731, 0.180, 0.844], [0.287, 0.338, 0.170], [0.787, 0.162, 0.330], [0.213, 0.670, 0.838], [0.713, 0.830, 0.662], [0.713, 0.662, 0.830], [0.213, 0.838, 0.670], [0.787, 0.330, 0.162], [0.287, 0.170, 0.338], [0.269, 0.820, 0.156], [0.769, 0.680, 0.344], [0.231, 0.656, 0.320], [0.731, 0.844, 0.180]],
  "m_tot_mub_per_atom": 0.00,
  "total_energy_ev_per_cell": -306.7,
  "raw_formation_energy_mev_per_atom": -1803.6
}



Number 2 is which compound? ZnCd2OsO6



Number 2 is which compound? ZnCd2OsO6